This record from Alexandria describes a relaxed Th2SnGe3Pt4 crystal. The functional is PBE-GGA.

Magnetization (μB/cell): 0.0
Total energy (eV/atom): -6.58
Energy of formation (eV per formula unit): -8.9
Space-group type: No. 115

Unit cell a=4.3259 b=4.3259 c=10.7829 alpha=90.00 beta=90.00 gamma=90.00
Fractional coordinates of all 10 atoms:
Th 0.5000 0.0000 0.2310
Th 0.0000 0.5000 0.7690
Sn 0.5000 0.5000 0.5000
Ge 0.0000 0.0000 0.5000
Ge 0.5000 0.0000 0.8724
Ge 0.0000 0.5000 0.1276
Pt 0.5000 0.5000 0.0000
Pt 0.0000 0.0000 0.0000
Pt 0.5000 0.0000 0.6461
Pt 0.0000 0.5000 0.3539

This record from Alexandria describes a relaxed LaAgPdPb crystal. The functional is PBE-GGA.

Magnetization (μB/cell): 0.0
Total energy (eV/atom): -4.65
Energy of formation (eV per formula unit): -1.9
Space-group type: No. 216

Unit cell a=5.0986 b=5.0986 c=5.0986 alpha=60.00 beta=60.00 gamma=60.00
Fractional coordinates of all 4 atoms:
Pb 0.0000 0.0000 0.0000
Pd 0.7500 0.7500 0.7500
Ag 0.2500 0.2500 0.2500
La 0.5000 0.5000 0.5000

This record from Alexandria describes a relaxed ZnFe2Se2 crystal. The functional is PBE-GGA.

Magnetization (μB/cell): 11.0
Uncorrected formation energy (eV/atom): 0.15
Total energy (eV/atom): -4.88
Energy relative to the lowest polymorph listed for this composition (meV/atom): 0
Space-group type: No. 127

Unit cell a=6.7878 b=6.7878 c=3.4386 alpha=90.00 beta=90.00 gamma=90.00
Site moments in Bohr magnetons follow the coordinates.
Fractional coordinates of all 10 atoms:
Zn 0.0000 0.0000 0.0000  -0.06
Zn 0.5000 0.5000 0.0000  -0.06
Fe 0.3699 0.8699 0.0000  2.64
Fe 0.8699 0.6301 0.0000  2.61
Fe 0.6301 0.1301 0.0000  2.64
Fe 0.1301 0.3699 0.0000  2.61
Se 0.1651 0.6651 0.5000  0.08
Se 0.6651 0.8349 0.5000  0.07
Se 0.8349 0.3349 0.5000  0.08
Se 0.3349 0.1651 0.5000  0.07

This record from Alexandria describes a relaxed TaInSi2O crystal. The functional is PBE-GGA.

Magnetization (μB/cell): 0.0
Uncorrected formation energy (eV/atom): 0.16
Total energy (eV/atom): -5.92
Space-group type: No. 123

Unit cell a=4.0806 b=4.6329 c=4.0806 alpha=90.00 beta=90.00 gamma=90.00
Fractional coordinates of all 5 atoms:
Si 0.0000 0.0000 0.5000
Si 0.5000 0.0000 0.0000
In 0.0000 0.5000 0.0000
O 0.0000 0.0000 0.0000
Ta 0.5000 0.5000 0.5000

This record from Alexandria describes a relaxed MnBe3In crystal. The functional is PBE-GGA.

Magnetization (μB/cell): 1.4
Total energy (eV/atom): -3.77
Energy of formation (eV per formula unit): 4.2
Energy relative to the lowest polymorph listed for this composition (meV/atom): 0
Space-group type: No. 221

Unit cell a=4.1430 b=4.1430 c=4.1430 alpha=90.00 beta=90.00 gamma=90.00
Site moments in Bohr magnetons follow the coordinates.
Fractional coordinates of all 5 atoms:
Be 0.0000 0.5000 0.0000  -0.01
Be 0.0000 0.0000 0.5000  -0.01
Be 0.5000 0.0000 0.0000  -0.05
Mn 0.0000 0.0000 0.0000  1.41
In 0.5000 0.5000 0.5000  0.01

This record from Alexandria describes a relaxed RbNa2Mn crystal. The functional is PBE-GGA.

Magnetization (μB/cell): 8.9
Total energy (eV/atom): -2.49
Energy of formation (eV per formula unit): 2.8
Energy relative to the lowest polymorph listed for this composition (meV/atom): 94
Space-group type: No. 122

Unit cell a=5.2412 b=5.2412 c=12.8741 alpha=78.26 beta=78.26 gamma=90.00
Site moments in Bohr magnetons follow the coordinates.
Fractional coordinates of all 8 atoms:
Na 0.5714 0.1250 0.2500  -0.01
Na 0.1786 0.6250 0.2500  -0.01
Na 0.3750 0.4286 0.7500  -0.01
Na 0.8750 0.8214 0.7500  -0.01
Mn 0.5000 0.5000 0.0000  4.25
Mn 0.2500 0.7500 0.5000  4.25
Rb 0.0000 0.0000 0.0000  -0.01
Rb 0.7500 0.2500 0.5000  -0.01

This record from Alexandria describes a relaxed Cu3NiPt crystal. The functional is PBE-GGA.

Magnetization (μB/cell): 0.5
Total energy (eV/atom): -3.91
Energy of formation (eV per formula unit): 4.6
Energy relative to the lowest polymorph listed for this composition (meV/atom): 990
Space-group type: No. 221

Unit cell a=4.2717 b=4.2717 c=4.2717 alpha=90.00 beta=90.00 gamma=90.00
Site moments in Bohr magnetons follow the coordinates.
Fractional coordinates of all 5 atoms:
Ni 0.0000 0.0000 0.0000  0.34
Cu 0.0000 0.5000 0.0000  0.04
Cu 0.0000 0.0000 0.5000  0.07
Cu 0.5000 0.0000 0.0000  0.03
Pt 0.5000 0.5000 0.5000  0.01

This record from Alexandria describes a relaxed SmTm6Th crystal. The functional is PBE-GGA.

Magnetization (μB/cell): 0.0
Total energy (eV/atom): -4.64
Energy of formation (eV per formula unit): 1.9
Energy relative to the lowest polymorph listed for this composition (meV/atom): 205
Space-group type: No. 2

Unit cell a=6.6926 b=6.4938 c=6.8858 alpha=79.55 beta=59.52 gamma=90.53
Fractional coordinates of all 8 atoms:
Sm 0.0000 0.0000 0.0000
Tm 0.0923 0.7671 0.4812
Tm 0.5724 0.7301 0.5172
Tm 0.4276 0.2699 0.4828
Tm 0.9077 0.2329 0.5188
Tm 0.5500 0.7489 0.9943
Tm 0.4500 0.2511 0.0057
Th 0.0000 0.5000 0.0000

This record from Alexandria describes a relaxed SbH2Rh crystal. The functional is PBE-GGA.

Magnetization (μB/cell): 0.0
Total energy (eV/atom): -3.83
Energy relative to the lowest polymorph listed for this composition (meV/atom): 545
Space-group type: No. 225

Unit cell a=4.0127 b=4.0127 c=4.0127 alpha=60.00 beta=60.00 gamma=60.00
Fractional coordinates of all 4 atoms:
Sb 0.5000 0.5000 0.5000
Rh 0.0000 0.0000 0.0000
H 0.2500 0.2500 0.2500
H 0.7500 0.7500 0.7500

This record from Alexandria describes a relaxed PmYSiIr crystal. The functional is PBE-GGA.

Magnetization (μB/cell): 0.0
Uncorrected formation energy (eV/atom): -0.54
Total energy (eV/atom): -6.91
Energy relative to the lowest polymorph listed for this composition (meV/atom): 275
Space-group type: No. 216

Unit cell a=5.0004 b=5.0004 c=5.0004 alpha=60.00 beta=60.00 gamma=60.00
Fractional coordinates of all 4 atoms:
Y 0.5000 0.5000 0.5000
Si 0.7500 0.7500 0.7500
Ir 0.2500 0.2500 0.2500
Pm 0.0000 0.0000 0.0000

This record from Alexandria describes a relaxed Ce12PaGe6 crystal. The functional is PBE-GGA.

Magnetization (μB/cell): 13.1
Total energy (eV/atom): -5.91
Energy of formation (eV per formula unit): -4.0
Space-group type: No. 148

Unit cell a=8.3188 b=8.3188 c=8.3188 alpha=98.41 beta=98.41 gamma=98.41
Site moments in Bohr magnetons follow the coordinates.
Fractional coordinates of all 19 atoms:
Ce 0.7963 0.5618 0.4224  0.86
Ce 0.4224 0.7963 0.5618  0.86
Ce 0.5618 0.4224 0.7963  0.86
Ce 0.2037 0.4382 0.5776  0.86
Ce 0.5776 0.2037 0.4382  0.86
Ce 0.4382 0.5776 0.2037  0.86
Ce 0.0660 0.9921 0.3241  0.73
Ce 0.0079 0.6759 0.9340  0.73
Ce 0.6759 0.9340 0.0079  0.73
Ce 0.9340 0.0079 0.6759  0.73
Ce 0.9921 0.3241 0.0660  0.73
Ce 0.3241 0.0660 0.9921  0.73
Pa 0.0000 0.0000 0.0000  1.26
Ge 0.6989 0.8832 0.3603  -0.03
Ge 0.6397 0.3011 0.1168  -0.03
Ge 0.1168 0.6397 0.3011  -0.03
Ge 0.3011 0.1168 0.6397  -0.03
Ge 0.3603 0.6989 0.8832  -0.03
Ge 0.8832 0.3603 0.6989  -0.03

This record from Alexandria describes a relaxed PmEr12Ni6 crystal. The functional is PBE-GGA.

Magnetization (μB/cell): 0.0
Total energy (eV/atom): -5.21
Energy of formation (eV per formula unit): -4.9
Space-group type: No. 204

Unit cell a=8.4508 b=8.4508 c=8.4508 alpha=109.47 beta=109.47 gamma=109.47
Fractional coordinates of all 19 atoms:
Pm 0.0000 0.0000 0.0000
Er 0.3109 0.1266 0.8157
Er 0.3109 0.4952 0.1843
Er 0.6891 0.5048 0.8157
Er 0.6891 0.8734 0.1843
Er 0.1266 0.8157 0.3109
Er 0.4952 0.1843 0.3109
Er 0.5048 0.8157 0.6891
Er 0.8734 0.1843 0.6891
Er 0.8157 0.3109 0.1266
Er 0.1843 0.3109 0.4952
Er 0.8157 0.6891 0.5048
Er 0.1843 0.6891 0.8734
Ni 0.3760 0.5000 0.8760
Ni 0.6240 0.5000 0.1240
Ni 0.5000 0.8760 0.3760
Ni 0.5000 0.1240 0.6240
Ni 0.8760 0.3760 0.5000
Ni 0.1240 0.6240 0.5000

What is the formula in the fifth record?
MnBe3In

Which value of total energy does entry 5 give?
-3.77 eV/atom